# PrHoH GGA-PBE optimized geometry
data_PrHoH
_chemical_formula_sum 'Pr1 Ho1 H1'
_symmetry_space_group_name_H-M 'P 1'
_symmetry_Int_Tables_number 1
_cell_length_a 3.677
_cell_length_b 3.677
_cell_length_c 5.801
_cell_angle_alpha 90.00
_cell_angle_beta 90.00
_cell_angle_gamma 120.00
loop_
_symmetry_equiv_pos_as_xyz
'x,y,z'
loop_
_atom_site_label
_atom_site_type_symbol
_atom_site_fract_x
_atom_site_fract_y
_atom_site_fract_z
Pr1 Pr 0.000 0.000 0.084
H1 H 0.667 0.333 0.348
Ho1 Ho 0.333 0.667 0.568
# - energy above the most stable polymorph in this dataset (meV per atom) = 0
# - total magnetization (μB/atom) = 0.00
# - SG = P3m1, No. 156